The following is a GGA-PBE calculation of an optimized crystal structure of CaLaCd2, from Alexandria via LeMat-Bulk.

Cell: 10.3899 10.3899 10.3899 Å, 21.00 21.00 21.00°
Fractional positions:
Ca: 0.7500 0.7500 0.7500
Cd: 0.4978 0.4978 0.4978
Cd: 0.0022 0.0022 0.0022
La: 0.2500 0.2500 0.2500

Values from the calculation:
* mass density: 5.317 g/cm³
* excess energy over the best structure of this formula in the dataset: 233 meV per atom
* formation energy: -0.147 eV/atom

The following is a GGA-PBE calculation of an optimized crystal structure of BeSiSb, from Alexandria via LeMat-Bulk.

Cell: 4.0962 9.6172 6.1874 Å, 90.00 90.00 90.00°
Fractional positions:
Be: 0.0000 0.3708 0.3372
Si: 0.5000 0.0000 0.1417
Sb: 0.5000 0.3109 0.1460
Sb: 0.5000 0.6891 0.1460
Be: 0.0000 0.6292 0.3372
Sb: 0.0000 0.1891 0.6460
Be: 0.5000 0.1292 0.8372
Be: 0.5000 0.8708 0.8372
Si: 0.0000 0.5000 0.6417
Si: 0.5000 0.5000 0.8455
Si: 0.0000 0.0000 0.3455
Sb: 0.0000 0.8109 0.6460

Values from the calculation:
* mass density: 4.329 g/cm³
* excess energy over the best structure of this formula in the dataset: 0 meV per atom
* formation energy (no corrections): 0.57 eV/f.u.

The following is a GGA-PBE calculation of an optimized crystal structure of Ga3BiAs, from Alexandria via LeMat-Bulk.

Cell: 5.0310 5.0310 5.0310 Å, 90.00 90.00 90.00°
Fractional positions:
Ga: 0.0000 0.5000 0.0000
Ga: 0.0000 0.0000 0.5000
Bi: 0.5000 0.5000 0.5000
Ga: 0.5000 0.0000 0.0000
As: 0.0000 0.0000 0.0000

Values from the calculation:
* mass density: 6.430 g/cm³
* excess energy over the best structure of this formula in the dataset: 0 meV per atom
* formation energy: 0.245 eV/atom

The following is a GGA-PBE calculation of an optimized crystal structure of Li3Cd3Pd, from Alexandria via LeMat-Bulk.

Cell: 7.2264 7.2264 7.4690 Å, 61.07 61.07 60.00°
Fractional positions:
Pd: 0.6728 0.6728 0.9816
Cd: 0.6850 0.9156 0.1766
Li: 0.2577 0.9397 0.3556
Li: 0.4471 0.2577 0.3556
Cd: 0.7772 0.3150 0.8234
Li: 0.7423 0.0603 0.6444
Cd: 0.9156 0.2228 0.1766
Cd: 0.3150 0.0844 0.8234
Pd: 0.3272 0.3272 0.0184
Li: 0.5529 0.7423 0.6444
Cd: 0.2228 0.6850 0.1766
Cd: 0.0844 0.7772 0.8234
Li: 0.9397 0.4471 0.3556
Li: 0.0603 0.5529 0.6444

Values from the calculation:
* mass density: 5.506 g/cm³
* excess energy over the best structure of this formula in the dataset: 52 meV per atom
* formation energy: -0.175 eV/atom

The following is a GGA-PBE calculation of an optimized crystal structure of Li2PmPrHg4, from Alexandria via LeMat-Bulk.

Cell: 5.1302 5.1302 8.9606 Å, 73.37 73.37 60.00°
Fractional positions:
Hg: 0.8747 0.8747 0.3759
Hg: 0.1253 0.1253 0.6241
Li: 0.7509 0.7509 0.7473
Pr: 0.0000 0.0000 0.0000
Li: 0.2491 0.2491 0.2527
Pm: 0.5000 0.5000 0.5000
Hg: 0.3770 0.3770 0.8691
Hg: 0.6230 0.6230 0.1309

Values from the calculation:
* mass density: 9.495 g/cm³
* formation energy: -0.454 eV/atom

The following is a GGA-PBE calculation of an optimized crystal structure of YVS2Cl, from Alexandria via LeMat-Bulk.

Cell: 5.2609 5.2609 5.0612 Å, 90.00 90.00 90.00°
Site moments in Bohr magnetons follow the coordinates.
Fractional positions:
S: 0.0000 0.5000 0.0000  -0.16
V: 0.5000 0.5000 0.5000  3.03
Y: 0.0000 0.0000 0.0000  0.01
Cl: 0.0000 0.0000 0.5000  0.01
S: 0.5000 0.0000 0.0000  -0.16

Values from the calculation:
* mass density: 2.838 g/cm³
* excess energy over the best structure of this formula in the dataset: 476 meV per atom
* formation energy (no corrections): -2.45 eV/f.u.

Q: Among the records above, which one has the lowest mass density?
A: YVS2Cl